The following is a DFT calculation (PBE) of crystalline NaLaZnIn at its relaxed geometry.

Total energy in eV per atom: -2.79
Density of states at the Fermi level in states/eV/atom: 0.600
Spin magnetization in μB/atom: 0.000
DFT formation energy in eV/atom: -0.23
Volume in Å³ per atom: 26.586
ρ in g cm⁻³: 5.34

a = 7.521 Å, b = 7.521 Å, c = 7.521 Å
α = 90.00°, β = 90.00°, γ = 90.00°
Space group F-43m (No. 216)
One atom of each set of equivalent atoms:
Na 0.000 0.000 0.000 (multiplicity 4)
La 0.000 0.000 0.500 (multiplicity 4)
Zn 0.250 0.250 0.250 (multiplicity 4)
In 0.250 0.250 0.750 (multiplicity 4)